No. 1
# PBE-GGA Rb2SrZnAs2, optimized geometry
data_Rb2SrZnAs2
_chemical_formula_sum 'Rb8 Sr4 Zn4 As8'
_cell_length_a 7.162
_cell_length_b 15.643
_cell_length_c 7.192
_cell_angle_alpha 90.00
_cell_angle_beta 90.00
_cell_angle_gamma 90.00
_space_group_name_H-M_alt 'I b a m'
_space_group_IT_number 72
_space_group_name_Hall '-I 2 2c'
loop_
_atom_site_label
_atom_site_fract_x
_atom_site_fract_y
_atom_site_fract_z
Rb1 0.212 0.181 0.000
Sr1 0.000 0.500 0.250
Zn1 0.000 0.000 0.250
As1 0.209 0.087 0.500
# DFT formation energy   -0.57 eV per atom

***

No. 2
# PBE-GGA Rb2SrZrAs, optimized geometry
data_Rb2SrZrAs
_chemical_formula_sum 'Rb2 Sr1 Zr1 As1'
_cell_length_a 6.812
_cell_length_b 6.812
_cell_length_c 5.248
_cell_angle_alpha 90.00
_cell_angle_beta 90.00
_cell_angle_gamma 90.00
_space_group_name_H-M_alt 'P 4/m m m'
_space_group_IT_number 123
_space_group_name_Hall '-P 4 2'
loop_
_atom_site_label
_atom_site_fract_x
_atom_site_fract_y
_atom_site_fract_z
Rb1 0.000 0.500 0.000
Sr1 0.000 0.000 0.500
Zr1 0.500 0.500 0.500
As1 0.500 0.500 0.000
# DFT formation energy   0.23 eV per atom

***

We obtain M_tot values of 0.00 0.95 μB per formula unit for the records listed above, in that order.